Version P
# PuTh2Pa

A relaxed structure of PuTh2Pa (PBE, Alexandria via LeMat-Bulk).

The structure belongs to space group P4/mmm (No. 123); the cell edges are 4.8372, 4.8372 and 4.7833 Å and the angles 90.00°, 90.00° and 90.00°. The distinct sites, in fractional coordinates, are Pu at (0.0000, 0.0000, 0.0000), Th at (0.0000, 0.5000, 0.5000) and Pa at (0.5000, 0.5000, 0.0000).



Version Q
# PuTh2Pa

A relaxed structure of PuTh2Pa (PBE, Alexandria via LeMat-Bulk).

The structure belongs to space group P4/mmm (No. 123); the cell edges are 3.4348, 3.4348 and 9.6195 Å and the angles 90.00°, 90.00° and 90.00°. The distinct sites, in fractional coordinates, are Pu at (0.0000, 0.0000, 0.0000), Th at (0.5000, 0.5000, 0.2509) and Pa at (0.0000, 0.0000, 0.5000).



Version R
# PuTh2Pa

A relaxed structure of PuTh2Pa (PBE, Alexandria via LeMat-Bulk).

The structure belongs to space group R-3m (No. 166, hexagonal axes); the cell edges are 3.3654, 3.3654 and 36.2535 Å and the angles 90.00°, 90.00° and 120.00°. The distinct sites, in fractional coordinates, are Pu at (0.0000, 0.0000, 0.0000), Th at (0.0000, 0.0000, 0.0867) and Pa at (0.0000, 0.0000, 0.5000).



The most stable arrangement is version P, and the next structure is 1.0 kJ/mol of atoms less stable.



Version P
# PuTh2Pa

A relaxed structure of PuTh2Pa (PBE, Alexandria via LeMat-Bulk).

The structure belongs to space group Fm-3m (No. 225); the cell edges are 7.6741, 7.6741 and 7.6741 Å and the angles 90.00°, 90.00° and 90.00°. The distinct sites, in fractional coordinates, are Pu at (0.0000, 0.0000, 0.0000), Th at (0.2500, 0.2500, 0.2500) and Pa at (0.0000, 0.0000, 0.5000).



Version Q
# PuTh2Pa

A relaxed structure of PuTh2Pa (PBE, Alexandria via LeMat-Bulk).

The structure belongs to space group R3m (No. 160, hexagonal axes); the cell edges are 3.4264, 3.4264 and 34.0495 Å and the angles 90.00°, 90.00° and 120.00°. The distinct sites, in fractional coordinates, are Pu at (0.0000, 0.0000, 0.0000), Th at (0.0000, 0.0000, 0.4148), Th at (0.0000, 0.0000, 0.5813) and Pa at (0.0000, 0.0000, 0.8310).



The most stable arrangement is version Q, and the next structure is 9.3 kJ/mol of atoms less stable.



Version P
# PuPa4Ti

A relaxed structure of PuPa4Ti (PBE, Alexandria via LeMat-Bulk).

The structure belongs to space group Imma (No. 74); the cell edges are 5.8653, 10.3836 and 9.0942 Å and the angles 90.00°, 90.00° and 90.00°. The distinct sites, in fractional coordinates, are Pu at (0.0000, 0.0000, 0.0000), Pa at (0.0000, 0.0038, 0.3319), Pa at (0.2490, 0.2500, 0.9225) and Ti at (0.2500, 0.2500, 0.2500).



Version Q
# PuPa4Ti

A relaxed structure of PuPa4Ti (PBE, Alexandria via LeMat-Bulk).

The structure belongs to space group Pmma (No. 51); the cell edges are 8.9028, 9.6748 and 3.2581 Å and the angles 90.00°, 90.00° and 90.00°. The distinct sites, in fractional coordinates, are Pu at (0.2500, 0.0000, 0.0042), Pa at (0.0000, 0.1721, 0.5000), Pa at (0.2500, 0.3447, 0.9991) and Ti at (0.0000, 0.5000, 0.5000).



The most stable arrangement is version Q, and the next structure is 10.9 kJ/mol of atoms less stable.



Version P
# Pu2PaTl

A relaxed structure of Pu2PaTl (PBE, Alexandria via LeMat-Bulk).

The structure belongs to space group P4/mmm (No. 123); the cell edges are 3.3752, 3.3752 and 8.9747 Å and the angles 90.00°, 90.00° and 90.00°. The distinct sites, in fractional coordinates, are Pu at (0.0000, 0.0000, 0.2319), Pa at (0.5000, 0.5000, 0.0000) and Tl at (0.5000, 0.5000, 0.5000).



Version Q
# Pu2PaTl

A relaxed structure of Pu2PaTl (PBE, Alexandria via LeMat-Bulk).

The structure belongs to space group R-3m (No. 166, hexagonal axes); the cell edges are 4.0403, 4.0403 and 22.2440 Å and the angles 90.00°, 90.00° and 120.00°. The distinct sites, in fractional coordinates, are Pu at (0.0000, 0.0000, 0.2316), Pa at (0.0000, 0.0000, 0.5000) and Tl at (0.0000, 0.0000, 0.0000).



Version R
# Pu2PaTl

A relaxed structure of Pu2PaTl (PBE, Alexandria via LeMat-Bulk).

The structure belongs to space group Fm-3m (No. 225); the cell edges are 7.4071, 7.4071 and 7.4071 Å and the angles 90.00°, 90.00° and 90.00°. The distinct sites, in fractional coordinates, are Pu at (0.2500, 0.2500, 0.2500), Pa at (0.0000, 0.0000, 0.0000) and Tl at (0.0000, 0.0000, 0.5000).



Version S
# Pu2PaTl

A relaxed structure of Pu2PaTl (PBE, Alexandria via LeMat-Bulk).

The structure belongs to space group P4/mmm (No. 123); the cell edges are 4.6391, 4.6391 and 4.7938 Å and the angles 90.00°, 90.00° and 90.00°. The distinct sites, in fractional coordinates, are Pu at (0.0000, 0.5000, 0.0000), Pa at (0.0000, 0.0000, 0.5000) and Tl at (0.5000, 0.5000, 0.5000).



The most stable arrangement is version P, and the next structure is 4.7 kJ/mol of atoms less stable.